1.
# Ca2VFeSe

A geometry-optimized Ca2VFeSe structure (PBE, Alexandria).

abc: 5.754 5.754 4.589
angles: 90.00 90.00 90.00
Space group P4/mmm (No. 123)
Unique sites:
Ca (0.000, 0.500, 0.000) x2
V (0.000, 0.000, 0.000) x1
Fe (0.500, 0.500, 0.500) x1
Se (0.000, 0.000, 0.500) x1

Properties
**DFT total energy**: -4.41 eV per atom

---

2.
# PmSmZnRh

A geometry-optimized PmSmZnRh structure (PBE, Alexandria).

abc: 4.435 3.979 10.830
angles: 90.00 90.00 90.00
Space group Amm2 (No. 38)
Unique sites:
Pm (0.000, 0.000, 0.000) x2
Sm (0.500, 0.000, 0.277) x2
Zn (0.500, 0.000, 0.569) x2
Rh (0.000, 0.000, 0.712) x2

Properties
**Offset from the most stable computed form**: 0.0000 eV/atom
**ΔE_f**: -0.54 eV per atom

---

3.
# Li2YAu2

A geometry-optimized Li2YAu2 structure (PBE, Alexandria).

abc: 7.505 7.505 3.230
angles: 90.00 90.00 90.00
Space group P4/mbm (No. 127)
Unique sites:
Li (0.113, 0.387, 0.000) x4
Y (0.000, 0.000, 0.000) x2
Au (0.185, 0.685, 0.500) x4

Properties
**Offset from the most stable computed form**: 0.0713 eV/atom
**ΔE_f**: -0.54 eV per atom

---

4.
# ThTi2MnC4

A geometry-optimized ThTi2MnC4 structure (PBE, Alexandria).

abc: 3.256 11.156 10.657
angles: 90.00 90.00 90.00
Space group Cmcm (No. 63)
Unique sites:
Th (0.000, 0.095, 0.250) x4
Ti (0.000, 0.371, 0.044) x8
Mn (0.000, 0.169, 0.750) x4
C (0.000, 0.000, 0.000) x4
C (0.000, 0.262, 0.614) x8
C (0.000, 0.418, 0.250) x4

Properties
**ΔE_f**: -0.38 eV per atom

---

5.
# GaFeTcW

A geometry-optimized GaFeTcW structure (PBE, Alexandria).

abc: 6.048 6.048 6.048
angles: 90.00 90.00 90.00
Space group F-43m (No. 216)
Unique sites:
Ga (0.000, 0.000, 0.000) x4
Fe (0.250, 0.250, 0.250) x4
Tc (0.250, 0.250, 0.750) x4
W (0.000, 0.000, 0.500) x4

Properties
**ΔE_f**: -0.09 eV per atom